(1)
An optimized crystal structure of LaMgTa2, computed with GGA-PBE.

abc: 6.092 10.051 2.870
angles: 90.00 90.00 90.00
Space group Cmmm (No. 65)
Inequivalent atoms, fractional coordinates:
La 0.000 0.000 0.000 (multiplicity 2)
Mg 0.000 0.500 0.000 (multiplicity 2)
Ta 0.250 0.250 0.500 (multiplicity 4)

VASP energy   -0.2554 Ha/atom
Energy of formation from the pure elements   0.608 eV per atom


(2)
An optimized crystal structure of Pr6Dy5, computed with GGA-PBE.

abc: 10.408 13.502 6.136
angles: 90.00 117.55 90.00
Space group C2/m (No. 12)
Inequivalent atoms, fractional coordinates:
Pr 0.183 0.000 0.086 (multiplicity 4)
Pr 0.186 0.140 0.610 (multiplicity 8)
Dy 0.000 0.234 0.000 (multiplicity 4)
Dy 0.000 0.370 0.500 (multiplicity 4)
Dy 0.000 0.500 0.000 (multiplicity 2)

VASP energy   -0.1682 Ha/atom
Energy of formation from the pure elements   0.121 eV per atom


(3)
An optimized crystal structure of Zn5In12Ga3, computed with GGA-PBE.

abc: 16.288 16.288 16.288
angles: 90.00 90.00 90.00
Space group Ia-3d (No. 230)
Inequivalent atoms, fractional coordinates:
Zn 0.000 0.000 0.000 (multiplicity 16)
Zn 0.000 0.250 0.375 (multiplicity 24)
In 0.022 0.078 0.649 (multiplicity 96)
Ga 0.000 0.250 0.125 (multiplicity 24)

VASP energy   -0.0825 Ha/atom
Energy of formation from the pure elements   0.170 eV per atom


(4)
An optimized crystal structure of Th4MnI5, computed with GGA-PBE.

abc: 19.970 4.034 9.308
angles: 90.00 103.26 90.00
Space group C2/m (No. 12)
Inequivalent atoms, fractional coordinates:
Th 0.002 0.000 0.308 (multiplicity 4)
Th 0.142 0.500 0.576 (multiplicity 4)
Mn 0.000 0.500 0.500 (multiplicity 2)
I 0.000 0.500 0.000 (multiplicity 2)
I 0.165 0.000 0.856 (multiplicity 4)
I 0.175 0.000 0.322 (multiplicity 4)

VASP energy   -0.1999 Ha/atom


(5)
An optimized crystal structure of Sm3DyMg, computed with GGA-PBE.

abc: 3.807 10.570 8.163
angles: 90.00 90.00 90.00
Space group Pmmn (No. 59, origin choice 2)
Inequivalent atoms, fractional coordinates:
Sm 0.250 0.003 0.236 (multiplicity 4)
Sm 0.250 0.750 0.556 (multiplicity 2)
Dy 0.250 0.750 0.943 (multiplicity 2)
Mg 0.250 0.250 0.754 (multiplicity 2)

VASP energy   -0.1451 Ha/atom
Energy of formation from the pure elements   0.123 eV per atom
Distance to the lowest polymorph of the same formula   68.3 meV per atom


(6)
An optimized crystal structure of LaSc3Se6, computed with GGA-PBE.

abc: 11.416 4.006 11.823
angles: 90.00 111.55 90.00
Space group P2_1/m (No. 11)
Inequivalent atoms, fractional coordinates:
La 0.109 0.250 0.361 (multiplicity 2)
Sc 0.163 0.250 0.038 (multiplicity 2)
Sc 0.274 0.750 0.736 (multiplicity 2)
Sc 0.494 0.750 0.356 (multiplicity 2)
Se 0.064 0.750 0.148 (multiplicity 2)
Se 0.094 0.250 0.625 (multiplicity 2)
Se 0.241 0.750 0.943 (multiplicity 2)
Se 0.331 0.750 0.520 (multiplicity 2)
Se 0.335 0.250 0.268 (multiplicity 2)
Se 0.433 0.250 0.822 (multiplicity 2)

VASP energy   -0.2279 Ha/atom
Distance to the lowest polymorph of the same formula   52.8 meV per atom